Li2Ru: optimized geometry, GGA-PBE.

## Properties
* total energy: -4.27 eV per atom
* energy of formation from the pure elements: 0.098 eV per atom
* volume: 179.1 Å³/cell

Unit cell a=8.6742 b=2.6859 c=8.4633 alpha=90.00 beta=114.70 gamma=90.00
Closest atoms and distances in Å follow each position.
Element x y z (fractional)
Li: 0.0047 0.0000 0.2427  5 Li 2.47-2.71, 2 Ru 2.67
Li: 0.1823 0.5000 0.6210  5 Li 2.47-2.71
Li: 0.3177 0.0000 0.3790  5 Li 2.47-2.71
Li: 0.4953 0.5000 0.7573  5 Li 2.47-2.71, 2 Ru 2.67
Li: 0.5047 0.5000 0.2427  5 Li 2.47-2.71, 2 Ru 2.67
Li: 0.6823 0.0000 0.6210  5 Li 2.47-2.71
Li: 0.8177 0.5000 0.3790  5 Li 2.47-2.71
Li: 0.9953 0.0000 0.7573  5 Li 2.47-2.71, 2 Ru 2.67
Ru: 0.1544 0.5000 0.0547  5 Ru 2.44-2.69, 2 Li 2.67
Ru: 0.3456 0.0000 0.9453  5 Ru 2.44-2.69, 2 Li 2.67
Ru: 0.6544 0.0000 0.0547  5 Ru 2.44-2.69, 2 Li 2.67
Ru: 0.8456 0.5000 0.9453  5 Ru 2.44-2.69, 2 Li 2.67